1.
This record from the Alexandria database describes Tb6BiAs5 after structural relaxation. The functional is PBE-GGA.

The structure belongs to space group C2/m (No. 12); the cell edges are 7.2817, 12.5953 and 7.2659 Å and the angles 90.00°, 109.52° and 90.00°. The distinct sites, in fractional coordinates, are Tb at (0.2379, 0.0000, 0.2560), Tb at (0.2403, 0.1738, 0.7428), Bi at (0.0000, 0.5000, 0.0000), As at (0.0000, 0.0000, 0.5000), As at (0.0000, 0.1669, 0.0000) and As at (0.0000, 0.3369, 0.5000).

Its formation energy from the elements is -1.4065 eV per atom. As for the total energy: -5.982 eV per atom. As for the calculated volume: 26.17 Å³ per atom.

2.
This record from the Alexandria database describes Tb4BiTeAs2 after structural relaxation. The functional is PBE-GGA.

The structure belongs to space group P2/m (No. 10); the cell edges are 7.3721, 4.2544 and 7.5007 Å and the angles 90.00°, 109.02° and 90.00°. The distinct sites, in fractional coordinates, are Tb at (0.2393, 0.0000, 0.2232), Tb at (0.2575, 0.5000, 0.7750), Bi at (0.0000, 0.0000, 0.5000), Te at (0.5000, 0.5000, 0.5000), As at (0.0000, 0.5000, 0.0000) and As at (0.5000, 0.0000, 0.0000).

The value obtained for the energy relative to the elements, uncorrected is -10.88 eV/f.u. As for the total energy: -5.715 eV per atom. As for the calculated volume: 27.80 Å³ per atom.

3.
This record from the Alexandria database describes Tb6BiTe2As3 after structural relaxation. The functional is PBE-GGA.

The structure belongs to space group C2/m (No. 12); the cell edges are 18.7481, 4.2420 and 8.6298 Å and the angles 90.00°, 104.64° and 90.00°. The distinct sites, in fractional coordinates, are Tb at (0.0062, 0.0000, 0.2366), Tb at (0.1597, 0.5000, 0.1004), Tb at (0.1722, 0.5000, 0.5664), Bi at (0.0000, 0.5000, 0.5000), Te at (0.1676, 0.0000, 0.8353), As at (0.0000, 0.5000, 0.0000) and As at (0.1673, 0.0000, 0.3328).

The value obtained for the energy relative to the elements, uncorrected is -16.90 eV/f.u. As for the total energy: -5.733 eV per atom. As for the calculated volume: 27.67 Å³ per atom.

4.
This record from the Alexandria database describes Tb6Bi3TeAs2 after structural relaxation. The functional is PBE-GGA.

The structure belongs to space group C2/m (No. 12); the cell edges are 18.9809, 4.3384 and 8.7470 Å and the angles 90.00°, 103.46° and 90.00°. The distinct sites, in fractional coordinates, are Tb at (0.0093, 0.0000, 0.2568), Tb at (0.1708, 0.5000, 0.1032), Tb at (0.1725, 0.5000, 0.5708), Bi at (0.0000, 0.5000, 0.5000), Bi at (0.1620, 0.0000, 0.8325), Te at (0.0000, 0.5000, 0.0000) and As at (0.1683, 0.0000, 0.3346).

The value obtained for the energy relative to the elements, uncorrected is -14.11 eV/f.u. As for the total energy: -5.498 eV per atom. As for the calculated volume: 29.19 Å³ per atom.